Computed, not measured: a relaxed structure of Sm6DyHo12 at the PBE level of DFT.

Computed properties:
E in eV per atom: -4.4081
Energy relative to the elements in eV/f.u.: 4.10
Energy above the lowest structure with this stoichiometry in meV/atom: 0

Structure (CIF):
```
data_Sm6DyHo12
_chemical_formula_sum 'Sm6 Dy1 Ho12'
_cell_length_a 8.6880
_cell_length_b 8.6880
_cell_length_c 8.6880
_cell_angle_alpha 98.62
_cell_angle_beta 98.62
_cell_angle_gamma 98.62
_space_group_name_H-M_alt 'P 1'
_space_group_IT_number 1
loop_
_space_group_symop_operation_xyz
'x,y,z'
loop_
_atom_site_label
_atom_site_fract_x
_atom_site_fract_y
_atom_site_fract_z
Sm1 0.1567 0.5975 0.5975
Sm2 0.4025 0.4024 0.8433
Sm3 0.4025 0.8433 0.4025
Sm4 0.5975 0.1567 0.5975
Sm5 0.5975 0.5975 0.1567
Sm6 0.8433 0.4025 0.4025
Dy1 0.5000 0.5000 0.5000
Ho1 0.0000 0.2576 0.7424
Ho2 0.0000 0.7424 0.2576
Ho3 0.1446 0.1446 0.4175
Ho4 0.1446 0.4175 0.1446
Ho5 0.2576 0.0000 0.7424
Ho6 0.2576 0.7424 0.0000
Ho7 0.4175 0.1446 0.1446
Ho8 0.5825 0.8554 0.8554
Ho9 0.7424 0.0000 0.2576
Ho10 0.7424 0.2576 0.0000
Ho11 0.8554 0.5825 0.8554
Ho12 0.8554 0.8554 0.5825
```